Run P
VASP calculation (GGA-PBE) on a relaxed structure of Fe2SnBr.

a = 6.0204 Å, b = 6.0204 Å, c = 6.0204 Å
α = 111.81°, β = 111.81°, γ = 104.88°
Last column: nearest neighbours and their distance in Å.
Sites, in units of the cell vectors:
1 Fe 0.1022 0.6250 0.9772  2 Br 2.46, 2 Sn 2.66
2 Fe 0.3750 0.3522 0.4772  2 Br 2.46, 2 Sn 2.66
3 Fe 0.6478 0.1250 0.0228  2 Br 2.46, 2 Sn 2.66
4 Fe 0.8750 0.8978 0.5228  2 Br 2.46, 2 Sn 2.66
5 Sn 0.2500 0.7500 0.5000  4 Fe 2.66
6 Sn 0.5000 0.5000 0.0000  4 Fe 2.66
7 Br 0.0000 0.0000 0.0000  4 Fe 2.46
8 Br 0.7500 0.2500 0.5000  4 Fe 2.46

Results
Density: 6.16 g cm⁻³
SG: I-42d, No. 122
Total magnetic moment: 11.247 μB/cell

Run Q
VASP calculation (GGA-PBE) on a relaxed structure of Fe2SnBr.

a = 4.6122 Å, b = 4.6122 Å, c = 4.6122 Å
α = 60.00°, β = 60.00°, γ = 60.00°
Last column: nearest neighbours and their distance in Å.
Sites, in units of the cell vectors:
1 Fe 0.2500 0.2500 0.2500  4 Sn 2.82, 4 Br 2.82
2 Fe 0.7500 0.7500 0.7500  4 Sn 2.82, 4 Br 2.82
3 Sn 0.0000 0.0000 0.0000  8 Fe 2.82
4 Br 0.5000 0.5000 0.5000  8 Fe 2.82

Results
Density: 7.43 g cm⁻³
SG: Fm-3m, No. 225
Total magnetic moment: 4.503 μB/cell

Computed energies relative to the best structure, in meV/atom: run P 0; run Q 35

Run P
VASP calculation (GGA-PBE) on a relaxed structure of Fe3SnBr.

a = 4.8072 Å, b = 4.8072 Å, c = 4.8072 Å
α = 90.00°, β = 90.00°, γ = 90.00°
Last column: nearest neighbours and their distance in Å.
Sites, in units of the cell vectors:
1 Fe 0.0000 0.0000 0.5000  2 Sn 2.40
2 Fe 0.0000 0.5000 0.0000  2 Sn 2.40
3 Fe 0.5000 0.0000 0.0000  2 Sn 2.40
4 Sn 0.0000 0.0000 0.0000  6 Fe 2.40
5 Br 0.5000 0.5000 0.5000  12 Fe 3.40

Results
Density: 5.47 g cm⁻³
SG: Pm-3m, No. 221
Total magnetic moment: 0.960 μB/cell

Run Q
VASP calculation (GGA-PBE) on a relaxed structure of Fe3SnBr.

a = 4.4558 Å, b = 4.4558 Å, c = 4.4558 Å
α = 90.00°, β = 90.00°, γ = 90.00°
Last column: nearest neighbours and their distance in Å.
Sites, in units of the cell vectors:
1 Fe 0.0000 0.0000 0.5000  2 Br 2.23
2 Fe 0.0000 0.5000 0.0000  2 Br 2.23
3 Fe 0.5000 0.0000 0.0000  2 Br 2.23
4 Sn 0.5000 0.5000 0.5000  12 Fe 3.15
5 Br 0.0000 0.0000 0.0000  6 Fe 2.23

Results
Density: 6.87 g cm⁻³
SG: Pm-3m, No. 221
Total magnetic moment: 6.562 μB/cell

Computed energies relative to the best structure, in meV/atom: run P 859; run Q 0

Run P
VASP calculation (GGA-PBE) on a relaxed structure of SrFeBr3.

a = 5.1612 Å, b = 5.1612 Å, c = 5.1612 Å
α = 90.00°, β = 90.00°, γ = 90.00°
Last column: nearest neighbours and their distance in Å.
Sites, in units of the cell vectors:
1 Sr 0.0000 0.0000 0.0000  12 Br 3.65
2 Fe 0.5000 0.5000 0.5000  6 Br 2.58
3 Br 0.0000 0.5000 0.5000  2 Fe 2.58
4 Br 0.5000 0.0000 0.5000  2 Fe 2.58
5 Br 0.5000 0.5000 0.0000  2 Fe 2.58

Results
Density: 4.63 g cm⁻³
SG: Pm-3m, No. 221
Total magnetic moment: 3.076 μB/cell

Run Q
VASP calculation (GGA-PBE) on a relaxed structure of SrFeBr3.

a = 5.9161 Å, b = 5.9161 Å, c = 5.9161 Å
α = 90.00°, β = 90.00°, γ = 90.00°
Last column: nearest neighbours and their distance in Å.
Sites, in units of the cell vectors:
1 Sr 0.0000 0.0000 0.0000  6 Br 2.96
2 Fe 0.5000 0.5000 0.5000  12 Br 4.18
3 Br 0.0000 0.0000 0.5000  2 Sr 2.96
4 Br 0.0000 0.5000 0.0000  2 Sr 2.96
5 Br 0.5000 0.0000 0.0000  2 Sr 2.96

Results
Density: 3.07 g cm⁻³
SG: Pm-3m, No. 221
Total magnetic moment: 4.353 μB/cell

Computed energies relative to the best structure, in meV/atom: run P 0; run Q 405

Run P
VASP calculation (GGA-PBE) on a relaxed structure of TaFe2Br.

a = 4.4071 Å, b = 4.4071 Å, c = 4.4071 Å
α = 60.00°, β = 60.00°, γ = 60.00°
Last column: nearest neighbours and their distance in Å.
Sites, in units of the cell vectors:
1 Ta 0.0000 0.0000 0.0000  4 Fe 2.70, 4 Br 2.70
2 Fe 0.5000 0.5000 0.5000  4 Fe 2.70, 4 Br 2.70
3 Fe 0.7500 0.7500 0.7500  4 Fe 2.70, 4 Ta 2.70
4 Br 0.2500 0.2500 0.2500  4 Ta 2.70, 4 Fe 2.70

Results
Density: 10.22 g cm⁻³
SG: F-43m, No. 216
Total magnetic moment: 3.979 μB/cell

Run Q
VASP calculation (GGA-PBE) on a relaxed structure of TaFe2Br.

a = 6.2676 Å, b = 6.2676 Å, c = 6.2676 Å
α = 125.18°, β = 125.18°, γ = 81.25°
Last column: nearest neighbours and their distance in Å.
Sites, in units of the cell vectors:
1 Ta 0.0000 0.0000 0.0000  4 Fe 2.39
2 Ta 0.7500 0.2500 0.5000  4 Fe 2.39
3 Fe 0.1342 0.6250 0.0092  2 Br 2.33, 2 Ta 2.39
4 Fe 0.3750 0.3842 0.5092  2 Br 2.33, 2 Ta 2.39
5 Fe 0.6158 0.1250 0.9908  2 Br 2.33, 2 Ta 2.39
6 Fe 0.8750 0.8658 0.4908  2 Br 2.33, 2 Ta 2.39
7 Br 0.2500 0.7500 0.5000  4 Fe 2.33
8 Br 0.5000 0.5000 0.0000  4 Fe 2.33

Results
Density: 7.81 g cm⁻³
SG: I-42d, No. 122
Total magnetic moment: 4.002 μB/cell

Run R
VASP calculation (GGA-PBE) on a relaxed structure of TaFe2Br.

a = 3.3048 Å, b = 3.2045 Å, c = 6.5751 Å
α = 90.00°, β = 90.15°, γ = 90.00°
Last column: nearest neighbours and their distance in Å.
Sites, in units of the cell vectors:
1 Ta 0.0000 0.0000 0.0000  8 Fe 2.60
2 Fe 0.4992 0.5000 0.8162  1 Fe 2.42, 4 Ta 2.60, 2 Br 2.62
3 Fe 0.5008 0.5000 0.1838  1 Fe 2.42, 4 Ta 2.60, 2 Br 2.62
4 Br 0.5000 0.0000 0.5000  4 Fe 2.62

Results
Density: 8.88 g cm⁻³
SG: P2/m, No. 10
Total magnetic moment: 2.852 μB/cell

Computed energies relative to the best structure, in meV/atom: run P 477; run Q 754; run R 0